Entry 1:
Entry from the Alexandria database: crystalline TlIr2W at its relaxed geometry (GGA-PBE).

The space group is Fm-3m (No. 225) and the conventional cell measures 6.473, 6.473 and 6.473 Å, with angles of 90.00, 90.00 and 90.00 degrees. The asymmetric unit holds Tl at (0.000, 0.000, 0.000), Ir at (0.250, 0.250, 0.250) and W at (0.000, 0.000, 0.500).

The calculation puts the density at 18.92 g cm⁻³. As for the energy relative to the lowest polymorph listed for this composition: 223 kJ/mol of formula units.

Entry 2:
Entry from the Alexandria database: crystalline La2PHN at its relaxed geometry (GGA-PBE).

The space group is P4/mmm (No. 123) and the conventional cell measures 5.007, 5.007 and 3.789 Å, with angles of 90.00, 90.00 and 90.00 degrees. The asymmetric unit holds La at (0.000, 0.500, 0.000), P at (0.000, 0.000, 0.500), H at (0.500, 0.500, 0.500) and N at (0.500, 0.500, 0.000).

The calculation puts the density at 5.66 g cm⁻³. The value obtained for the total energy is -6.072 eV/atom.

Entry 3:
Entry from the Alexandria database: crystalline CaSmHoMg at its relaxed geometry (GGA-PBE).

The space group is P4mm (No. 99) and the conventional cell measures 3.623, 3.623 and 9.739 Å, with angles of 90.00, 90.00 and 90.00 degrees. The asymmetric unit holds Ca at (0.000, 0.000, 0.000), Sm at (0.500, 0.500, 0.705), Ho at (0.000, 0.000, 0.458) and Mg at (0.500, 0.500, 0.240).

The calculation puts the density at 4.93 g cm⁻³. As for the energy relative to the lowest polymorph listed for this composition: 0 kJ/mol of formula units.

Entry 4:
Entry from the Alexandria database: crystalline AgHgI2 at its relaxed geometry (GGA-PBE).

The space group is P-1 (No. 2) and the conventional cell measures 4.590, 8.169 and 8.675 Å, with angles of 87.75, 75.99 and 75.63 degrees. The asymmetric unit holds Ag at (0.189, 0.125, 0.022), Hg at (0.365, 0.880, 0.562), I at (0.041, 0.650, 0.698) and I at (0.263, 0.792, 0.167).

The calculation puts the density at 6.11 g cm⁻³. As for the energy relative to the lowest polymorph listed for this composition: 0 kJ/mol of formula units. The raw formation energy comes out at -236.0 meV per atom.

Entry 5:
Entry from the Alexandria database: crystalline Cs2Cd4In3Bi at its relaxed geometry (GGA-PBE).

The space group is P-4m2 (No. 115) and the conventional cell measures 5.150, 5.150 and 12.752 Å, with angles of 90.00, 90.00 and 90.00 degrees. The asymmetric unit holds Cs at (0.000, 0.500, 0.246), Cd at (0.000, 0.000, 0.000), Cd at (0.000, 0.500, 0.641), Cd at (0.500, 0.500, 0.000), In at (0.000, 0.500, 0.878), In at (0.500, 0.500, 0.500) and Bi at (0.000, 0.000, 0.500).

The calculation puts the density at 6.23 g cm⁻³. The value obtained for the total energy is -1.841 eV/atom.

Entry 6:
Entry from the Alexandria database: crystalline BPtW at its relaxed geometry (GGA-PBE).

The space group is Amm2 (No. 38) and the conventional cell measures 3.263, 3.272 and 14.025 Å, with angles of 90.00, 90.00 and 90.00 degrees. The asymmetric unit holds B at (0.000, 0.000, 0.000), B at (0.500, 0.000, 0.075), Pt at (0.000, 0.000, 0.845), Pt at (0.500, 0.000, 0.460), W at (0.000, 0.000, 0.628) and W at (0.500, 0.000, 0.240).

The calculation puts the density at 17.29 g cm⁻³. As for the energy relative to the lowest polymorph listed for this composition: 56 kJ/mol of formula units.

Entry 7:
Entry from the Alexandria database: crystalline Ac2TmS3 at its relaxed geometry (GGA-PBE).

The space group is I4/mmm (No. 139) and the conventional cell measures 4.194, 4.194 and 17.577 Å, with angles of 90.00, 90.00 and 90.00 degrees. The asymmetric unit holds Ac at (0.000, 0.000, 0.169), Tm at (0.000, 0.000, 0.500), S at (0.000, 0.000, 0.000) and S at (0.000, 0.000, 0.345).

The calculation puts the density at 7.72 g cm⁻³. The raw formation energy comes out at -1887.7 meV per atom.

Entry 8:
Entry from the Alexandria database: crystalline MgMnTeI2 at its relaxed geometry (GGA-PBE).

The space group is P4/mmm (No. 123) and the conventional cell measures 5.548, 5.548 and 5.801 Å, with angles of 90.00, 90.00 and 90.00 degrees. The asymmetric unit holds Mg at (0.000, 0.000, 0.000), Mn at (0.500, 0.500, 0.500), Te at (0.000, 0.000, 0.500) and I at (0.000, 0.500, 0.000).

The calculation puts the density at 4.28 g cm⁻³. As for the energy relative to the lowest polymorph listed for this composition: 0 kJ/mol of formula units. The raw formation energy comes out at 146.7 meV per atom.

Entry 9:
Entry from the Alexandria database: crystalline Pa2Sb2PdN2 at its relaxed geometry (GGA-PBE).

The space group is P-3m1 (No. 164) and the conventional cell measures 3.7754, 3.7754 and 13.0710 Å, with angles of 90.00, 90.00 and 120.00 degrees. The asymmetric unit holds Pa at (0.3333, 0.6667, 0.1127), Sb at (0.0000, 0.0000, 0.3037), Pd at (0.0000, 0.0000, 0.5000) and N at (0.3333, 0.6667, 0.9342).

The calculation puts the density at 8.65 g cm⁻³. The raw formation energy comes out at -768.8 meV per atom.

Entry 10:
Entry from the Alexandria database: crystalline Th12Co6Sb at its relaxed geometry (GGA-PBE).

The space group is Im-3 (No. 204) and the conventional cell measures 9.942, 9.942 and 9.942 Å, with angles of 90.00, 90.00 and 90.00 degrees. The asymmetric unit holds Th at (0.000, 0.314, 0.178), Co at (0.000, 0.133, 0.500) and Sb at (0.000, 0.000, 0.000).

The calculation puts the density at 11.02 g cm⁻³. The raw formation energy comes out at -263.4 meV per atom.

Entry 11:
Entry from the Alexandria database: crystalline Sb4IrOs at its relaxed geometry (GGA-PBE).

The space group is F-43m (No. 216) and the conventional cell measures 8.250, 8.250 and 8.250 Å, with angles of 90.00, 90.00 and 90.00 degrees. The asymmetric unit holds Sb at (0.125, 0.125, 0.125), Ir at (0.250, 0.250, 0.750) and Os at (0.000, 0.000, 0.500).

The calculation puts the density at 10.29 g cm⁻³. The raw formation energy comes out at 1558.3 meV per atom.

Entry 12:
Entry from the Alexandria database: crystalline LiLa2FeSn at its relaxed geometry (GGA-PBE).

The space group is P4/mmm (No. 123) and the conventional cell measures 5.268, 5.268 and 5.025 Å, with angles of 90.00, 90.00 and 90.00 degrees. The asymmetric unit holds Li at (0.000, 0.000, 0.000), La at (0.000, 0.500, 0.500), Fe at (0.500, 0.500, 0.500) and Sn at (0.500, 0.500, 0.000).

The calculation puts the density at 5.47 g cm⁻³. The value obtained for the total energy is -5.017 eV/atom.